# 1
Computed, not measured: CdGa2Hg2 after structural relaxation at the PBEsol level of DFT. Values from VASP.

Summary:
Crystal system: tetragonal
Energy in eV/atom: -1.724
D(E_F) in states/eV per cell: 3.9
Space-group type: P4/mbm

Quantum ESPRESSO input file:
```
&SYSTEM
  ibrav = 0, nat = 10, ntyp = 3
/
ATOMIC_SPECIES
Cd 112.41 Cd.upf
Ga 69.72 Ga.upf
Hg 200.59 Hg.upf
CELL_PARAMETERS angstrom
8.142 0.000 0.000
0.000 8.142 0.000
0.000 0.000 3.259
ATOMIC_POSITIONS crystal
Cd 0.000 0.000 0.000
Cd 0.500 0.500 0.000
Ga 0.126 0.374 0.500
Ga 0.374 0.874 0.500
Ga 0.626 0.126 0.500
Ga 0.874 0.626 0.500
Hg 0.173 0.673 0.000
Hg 0.327 0.173 0.000
Hg 0.673 0.827 0.000
Hg 0.827 0.327 0.000
```

***

# 2
Computed, not measured: Cd2Ga2Hg after structural relaxation at the PBEsol level of DFT. Values from VASP.

Summary:
Crystal system: tetragonal
Energy in eV/atom: -1.860
D(E_F) in states/eV per cell: 3.9
Space-group type: P4/mbm

Quantum ESPRESSO input file:
```
&SYSTEM
  ibrav = 0, nat = 10, ntyp = 3
/
ATOMIC_SPECIES
Cd 112.41 Cd.upf
Ga 69.72 Ga.upf
Hg 200.59 Hg.upf
CELL_PARAMETERS angstrom
8.452 0.000 0.000
0.000 8.452 0.000
0.000 0.000 2.947
ATOMIC_POSITIONS crystal
Cd 0.179 0.321 0.000
Cd 0.321 0.821 0.000
Cd 0.679 0.179 0.000
Cd 0.821 0.679 0.000
Ga 0.118 0.618 0.500
Ga 0.382 0.118 0.500
Ga 0.618 0.882 0.500
Ga 0.882 0.382 0.500
Hg 0.000 0.000 0.000
Hg 0.500 0.500 0.000
```

***

# 3
Computed, not measured: Cd2Ga2Hg after structural relaxation at the PBEsol level of DFT. Values from VASP.

Summary:
Crystal system: tetragonal
Energy in eV/atom: -1.847
D(E_F) in states/eV per cell: 4.4
Space-group type: I4/mmm

Quantum ESPRESSO input file:
```
&SYSTEM
  ibrav = 0, nat = 10, ntyp = 3
/
ATOMIC_SPECIES
Cd 112.41 Cd.upf
Ga 69.72 Ga.upf
Hg 200.59 Hg.upf
CELL_PARAMETERS angstrom
3.926 0.000 0.000
0.000 3.926 0.000
0.000 0.000 13.771
ATOMIC_POSITIONS crystal
Cd 0.000 0.000 0.101
Cd 0.000 0.000 0.899
Cd 0.500 0.500 0.399
Cd 0.500 0.500 0.601
Ga 0.000 0.500 0.250
Ga 0.000 0.500 0.750
Ga 0.500 0.000 0.250
Ga 0.500 0.000 0.750
Hg 0.000 0.000 0.500
Hg 0.500 0.500 0.000
```

***

# 4
Computed, not measured: Cd2GaHg after structural relaxation at the PBEsol level of DFT. Values from VASP.

Summary:
Crystal system: tetragonal
Energy in eV/atom: -1.478
D(E_F) in states/eV per cell: 5.9
Space-group type: I-42d

Quantum ESPRESSO input file:
```
&SYSTEM
  ibrav = 0, nat = 16, ntyp = 3
/
ATOMIC_SPECIES
Cd 112.41 Cd.upf
Ga 69.72 Ga.upf
Hg 200.59 Hg.upf
CELL_PARAMETERS angstrom
7.939 0.000 0.000
0.000 7.939 0.000
0.000 0.000 5.685
ATOMIC_POSITIONS crystal
Cd 0.236 0.750 0.125
Cd 0.250 0.236 0.875
Cd 0.250 0.264 0.375
Cd 0.264 0.750 0.625
Cd 0.736 0.250 0.625
Cd 0.750 0.736 0.375
Cd 0.750 0.764 0.875
Cd 0.764 0.250 0.125
Ga 0.000 0.000 0.000
Ga 0.000 0.500 0.250
Ga 0.500 0.000 0.750
Ga 0.500 0.500 0.500
Hg 0.000 0.000 0.500
Hg 0.000 0.500 0.750
Hg 0.500 0.000 0.250
Hg 0.500 0.500 0.000
```

***

# 5
Computed, not measured: Cd2GaHg after structural relaxation at the PBEsol level of DFT. Values from VASP.

Summary:
Crystal system: cubic
Energy in eV/atom: -1.510
D(E_F) in states/eV per cell: 5.7
Space-group type: Fm-3m

Quantum ESPRESSO input file:
```
&SYSTEM
  ibrav = 0, nat = 16, ntyp = 3
/
ATOMIC_SPECIES
Cd 112.41 Cd.upf
Ga 69.72 Ga.upf
Hg 200.59 Hg.upf
CELL_PARAMETERS angstrom
6.953 0.000 0.000
0.000 6.953 0.000
0.000 0.000 6.953
ATOMIC_POSITIONS crystal
Cd 0.250 0.250 0.250
Cd 0.250 0.250 0.750
Cd 0.250 0.750 0.250
Cd 0.250 0.750 0.750
Cd 0.750 0.250 0.250
Cd 0.750 0.250 0.750
Cd 0.750 0.750 0.250
Cd 0.750 0.750 0.750
Ga 0.000 0.000 0.000
Ga 0.000 0.500 0.500
Ga 0.500 0.000 0.500
Ga 0.500 0.500 0.000
Hg 0.000 0.000 0.500
Hg 0.000 0.500 0.000
Hg 0.500 0.000 0.000
Hg 0.500 0.500 0.500
```

***

# 6
Computed, not measured: CdGaI2N after structural relaxation at the PBEsol level of DFT. Values from VASP.

Summary:
ΔE_f (raw) in eV per atom: 0.55
Crystal system: tetragonal
Energy in eV/atom: -2.772
D(E_F) in states/eV per cell: 0.8
Space-group type: P4/mmm

Quantum ESPRESSO input file:
```
&SYSTEM
  ibrav = 0, nat = 5, ntyp = 4
/
ATOMIC_SPECIES
Cd 112.41 Cd.upf
Ga 69.72 Ga.upf
I 126.90 I.upf
N 14.01 N.upf
CELL_PARAMETERS angstrom
5.963 0.000 0.000
0.000 5.963 0.000
0.000 0.000 4.225
ATOMIC_POSITIONS crystal
Cd 0.000 0.000 0.000
Ga 0.500 0.500 0.500
I 0.000 0.500 0.000
I 0.500 0.000 0.000
N 0.000 0.000 0.500
```

***

# 7
Computed, not measured: CdIn3Ga after structural relaxation at the PBEsol level of DFT. Values from VASP.

Summary:
Crystal system: cubic
Energy in eV/atom: -2.362
D(E_F) in states/eV per cell: 3.0
Space-group type: Pm-3m

Quantum ESPRESSO input file:
```
&SYSTEM
  ibrav = 0, nat = 5, ntyp = 3
/
ATOMIC_SPECIES
Cd 112.41 Cd.upf
In 114.82 In.upf
Ga 69.72 Ga.upf
CELL_PARAMETERS angstrom
5.252 0.000 0.000
0.000 5.252 0.000
0.000 0.000 5.252
ATOMIC_POSITIONS crystal
Cd 0.000 0.000 0.000
In 0.000 0.500 0.500
In 0.500 0.000 0.500
In 0.500 0.500 0.000
Ga 0.500 0.500 0.500
```

***

# 8
Computed, not measured: MgCdIn2Ga after structural relaxation at the PBEsol level of DFT. Values from VASP.

Summary:
Crystal system: tetragonal
Energy in eV/atom: -2.123
D(E_F) in states/eV per cell: 2.6
Space-group type: P4/mmm

Quantum ESPRESSO input file:
```
&SYSTEM
  ibrav = 0, nat = 5, ntyp = 4
/
ATOMIC_SPECIES
Mg 24.30 Mg.upf
Cd 112.41 Cd.upf
In 114.82 In.upf
Ga 69.72 Ga.upf
CELL_PARAMETERS angstrom
5.348 0.000 0.000
0.000 5.348 0.000
0.000 0.000 5.029
ATOMIC_POSITIONS crystal
Mg 0.000 0.000 0.000
Cd 0.500 0.500 0.000
In 0.000 0.500 0.500
In 0.500 0.000 0.500
Ga 0.500 0.500 0.500
```

***

# 9
Computed, not measured: Cd3GaIr after structural relaxation at the PBEsol level of DFT. Values from VASP.

Summary:
Crystal system: cubic
Energy in eV/atom: -2.869
D(E_F) in states/eV per cell: 2.0
Space-group type: Pm-3m

Quantum ESPRESSO input file:
```
&SYSTEM
  ibrav = 0, nat = 5, ntyp = 3
/
ATOMIC_SPECIES
Cd 112.41 Cd.upf
Ga 69.72 Ga.upf
Ir 192.22 Ir.upf
CELL_PARAMETERS angstrom
5.108 0.000 0.000
0.000 5.108 0.000
0.000 0.000 5.108
ATOMIC_POSITIONS crystal
Cd 0.000 0.000 0.500
Cd 0.000 0.500 0.000
Cd 0.500 0.000 0.000
Ga 0.500 0.500 0.500
Ir 0.000 0.000 0.000
```

***

# 10
Computed, not measured: CdGa3Ir after structural relaxation at the PBEsol level of DFT. Values from VASP.

Summary:
Crystal system: cubic
Energy in eV/atom: -4.309
D(E_F) in states/eV per cell: 1.0
Space-group type: Pm-3m

Quantum ESPRESSO input file:
```
&SYSTEM
  ibrav = 0, nat = 5, ntyp = 3
/
ATOMIC_SPECIES
Cd 112.41 Cd.upf
Ga 69.72 Ga.upf
Ir 192.22 Ir.upf
CELL_PARAMETERS angstrom
4.793 0.000 0.000
0.000 4.793 0.000
0.000 0.000 4.793
ATOMIC_POSITIONS crystal
Cd 0.000 0.000 0.000
Ga 0.000 0.500 0.500
Ga 0.500 0.000 0.500
Ga 0.500 0.500 0.000
Ir 0.500 0.500 0.500
```

***

# 11
Computed, not measured: Nb2CdGaIr after structural relaxation at the PBEsol level of DFT. Values from VASP.

Summary:
Crystal system: tetragonal
Energy in eV/atom: -5.924
D(E_F) in states/eV per cell: 3.7
Space-group type: P4/mmm

Quantum ESPRESSO input file:
```
&SYSTEM
  ibrav = 0, nat = 5, ntyp = 4
/
ATOMIC_SPECIES
Nb 92.91 Nb.upf
Cd 112.41 Cd.upf
Ga 69.72 Ga.upf
Ir 192.22 Ir.upf
CELL_PARAMETERS angstrom
4.695 0.000 0.000
0.000 4.695 0.000
0.000 0.000 4.501
ATOMIC_POSITIONS crystal
Nb 0.000 0.500 0.000
Nb 0.500 0.000 0.000
Cd 0.000 0.000 0.500
Ga 0.000 0.000 0.000
Ir 0.500 0.500 0.500
```

***

# 12
Computed, not measured: KCd2Ga2 after structural relaxation at the PBEsol level of DFT. Values from VASP.

Summary:
Crystal system: tetragonal
Energy in eV/atom: -2.115
D(E_F) in states/eV per cell: 4.8
Space-group type: I4/mmm

Quantum ESPRESSO input file:
```
&SYSTEM
  ibrav = 0, nat = 10, ntyp = 3
/
ATOMIC_SPECIES
K 39.10 K.upf
Cd 112.41 Cd.upf
Ga 69.72 Ga.upf
CELL_PARAMETERS angstrom
4.629 0.000 0.000
0.000 4.629 0.000
0.000 0.000 11.088
ATOMIC_POSITIONS crystal
K 0.000 0.000 0.000
K 0.500 0.500 0.500
Cd 0.000 0.500 0.250
Cd 0.000 0.500 0.750
Cd 0.500 0.000 0.250
Cd 0.500 0.000 0.750
Ga 0.000 0.000 0.386
Ga 0.000 0.000 0.614
Ga 0.500 0.500 0.114
Ga 0.500 0.500 0.886
```